Ba2HgRuCl (PBE, optimized geometry); final energy = -14.53 eV per formula unit; crystal system = tetragonal; Fermi-level density of states = 0.47 states/eV/atom; space-group type = P4/mmm
1.0
5.914 0.000 0.000
0.000 5.604 0.000
0.000 0.000 5.914
Ru Ba Cl Hg
1 2 1 1
Cartesian
2.957 2.802 2.957
0.000 0.000 2.957
2.957 0.000 0.000
0.000 0.000 0.000
0.000 2.802 0.000